1.
The following is a DFT calculation (PBE) of a geometry-optimized SrCdSi2 structure.

Values from the calculation:
space-group type: I4/mmm, No. 139

a = 5.520 Å, b = 5.520 Å, c = 5.520 Å
α = 131.13°, β = 131.13°, γ = 71.60°
Element x y z (fractional)
Cd1 0.750 0.250 0.500
Si1 0.000 0.000 0.000
Si2 0.500 0.500 0.000
Sr1 0.250 0.750 0.500


2.
The following is a DFT calculation (PBE) of a geometry-optimized SrCd2Si structure.

Values from the calculation:
space-group type: P2/m, No. 10

a = 4.938 Å, b = 3.752 Å, c = 5.698 Å
α = 89.81°, β = 90.00°, γ = 90.00°
Element x y z (fractional)
Cd1 0.000 0.247 0.002
Cd2 0.000 0.253 0.498
Si1 0.500 0.250 0.250
Sr1 0.500 0.750 0.750


3.
The following is a DFT calculation (PBE) of a geometry-optimized SrCd2Si structure.

Values from the calculation:
space-group type: Cmcm, No. 63

a = 4.605 Å, b = 4.446 Å, c = 10.343 Å
α = 102.41°, β = 90.00°, γ = 90.00°
Element x y z (fractional)
Sr1 0.250 0.887 0.773
Sr2 0.750 0.113 0.227
Cd1 0.250 0.250 0.500
Cd2 0.750 0.750 0.500
Cd3 0.750 0.462 0.924
Cd4 0.250 0.538 0.076
Si1 0.750 0.331 0.662
Si2 0.250 0.669 0.338


4.
The following is a DFT calculation (PBE) of a geometry-optimized SrCd2Si structure.

Values from the calculation:
space-group type: P4/mmm, No. 123

a = 4.510 Å, b = 4.510 Å, c = 4.931 Å
α = 90.00°, β = 90.00°, γ = 90.00°
Element x y z (fractional)
Cd1 0.000 0.000 0.000
Cd2 0.500 0.500 0.000
Si1 0.500 0.000 0.500
Sr1 0.000 0.500 0.500


5.
The following is a DFT calculation (PBE) of a geometry-optimized SrCd2Si structure.

Values from the calculation:
space-group type: P4mm, No. 99

a = 3.709 Å, b = 3.709 Å, c = 7.409 Å
α = 90.00°, β = 90.00°, γ = 89.95°
Element x y z (fractional)
Cd1 0.000 0.000 0.049
Cd2 0.500 0.500 0.274
Si1 0.000 0.000 0.445
Sr1 0.500 0.500 0.732


6.
The following is a DFT calculation (PBE) of a geometry-optimized Sr2CdSi2 structure.

Values from the calculation:
space-group type: C2/c, No. 15

a = 6.242 Å, b = 6.142 Å, c = 8.231 Å
α = 100.12°, β = 90.00°, γ = 120.54°
Element x y z (fractional)
Sr1 0.507 0.294 0.143
Sr2 0.213 0.706 0.357
Sr3 0.493 0.706 0.857
Sr4 0.787 0.294 0.643
Cd1 0.897 0.000 0.250
Cd2 0.103 0.000 0.750
Si1 0.697 0.711 0.498
Si2 0.986 0.289 0.002
Si3 0.303 0.289 0.502
Si4 0.014 0.711 0.998


7.
The following is a DFT calculation (PBE) of a geometry-optimized SrCdSi2 structure.

Values from the calculation:
space-group type: Pmmm, No. 47

a = 4.426 Å, b = 3.374 Å, c = 6.429 Å
α = 89.99°, β = 90.00°, γ = 90.00°
Element x y z (fractional)
Cd1 0.500 0.750 0.750
Si1 0.000 0.750 0.964
Si2 0.000 0.750 0.536
Sr1 0.500 0.250 0.250


8.
The following is a DFT calculation (PBE) of a geometry-optimized Sr2CdSi2 structure.

Values from the calculation:
space-group type: I4/mmm, No. 139

a = 6.014 Å, b = 6.014 Å, c = 6.152 Å
α = 60.74°, β = 60.74°, γ = 90.00°
Element x y z (fractional)
Sr1 0.750 0.250 0.500
Sr2 0.250 0.750 0.500
Si1 0.372 0.372 0.255
Si2 0.628 0.628 0.745
Cd1 0.000 0.000 0.000


In the order shown, the computed formation energy from raw total energies values come out to 214, -53, -263, -42, -26, -332, 89, -16 meV/atom.